1.
4
Lattice="0.000 3.810 3.810 3.810 0.000 3.810 3.810 3.810 0.000" Properties=species:S:1:pos:R:3 comment="LaCeZnSb, optimized geometry, DFT GGA-PBE" spacegroup=F-43m dos_at_fermi_per_ev_atom=2.258 formation_energy_uncorrected_mev_per_atom=-555 magnetic_moment_mub_per_fu=1.6 e_tot_ev_per_atom=-4.619 pbc="T T T"
La 0.000 0.000 0.000
Ce 3.810 3.810 3.810
Zn 5.715 5.715 5.715
Sb 1.905 1.905 1.905

***

2.
5
Lattice="-1.937 1.937 6.194 1.937 -1.937 6.194 1.937 1.937 -6.194" Properties=species:S:1:pos:R:3 comment="AcMnVP2, optimized geometry, DFT GGA-PBE" spacegroup=I-4m2 dos_at_fermi_per_ev_atom=0.580 e_form_ev_per_atom=-0.895 magnetic_moment_mub_per_fu=1.3 e_tot_ev_per_atom=-7.538 pbc="T T T"
Ac 0.000 0.000 0.000
Mn 1.937 0.000 3.097
V 0.000 1.937 3.097
P 0.000 0.000 4.476
P 0.000 0.000 7.913

***

3.
5
Lattice="5.107 0.000 0.000 0.000 5.107 0.000 0.000 0.000 5.342" Properties=species:S:1:pos:R:3 comment="CdSn2HgIr, optimized geometry, DFT GGA-PBE" spacegroup=P4/mmm dos_at_fermi_per_ev_atom=0.489 e_form_ev_per_atom=0.006 magnetic_moment_mub_per_fu=0.0 e_tot_ev_per_atom=-3.611 pbc="T T T"
Cd 0.000 0.000 0.000
Sn 0.000 2.553 2.671
Sn 2.553 0.000 2.671
Hg 2.553 2.553 0.000
Ir 0.000 0.000 2.671

***

4.
4
Lattice="3.022 0.000 0.000 0.000 3.022 0.000 0.000 0.000 9.051" Properties=species:S:1:pos:R:3 comment="MgTlP2, optimized geometry, DFT GGA-PBE" spacegroup=P4/mmm dos_at_fermi_per_ev_atom=0.148 e_form_ev_per_atom=0.143 magnetic_moment_mub_per_fu=0.0 e_tot_ev_per_atom=-3.552 de_polymorph_ev_per_fu=1.00 pbc="T T T"
Mg 0.000 0.000 0.000
Tl 0.000 0.000 4.525
P 1.511 1.511 1.790
P 1.511 1.511 7.261

***

5.
12
Lattice="5.251 0.000 0.000 -2.625 4.547 0.000 0.000 0.000 8.938" Properties=species:S:1:pos:R:3 comment="AcBiS2O8, optimized geometry, DFT GGA-PBE" spacegroup=P-3m1 dos_at_fermi_per_ev_atom=0.002 formation_energy_uncorrected_mev_per_atom=-1679 magnetic_moment_mub_per_fu=2.0 e_tot_ev_per_atom=-6.338 pbc="T T T"
Ac 0.000 0.000 0.000
Bi 0.000 0.000 4.469
S 0.000 3.032 1.628
S 2.625 1.516 7.309
O 0.000 1.616 2.079
O -1.226 3.739 2.079
O 0.000 3.032 0.111
O 1.400 0.808 6.859
O 1.226 3.739 2.079
O 2.625 1.516 8.826
O 3.851 0.808 6.859
O 2.625 2.931 6.859

***

6.
6
Lattice="1.617 -6.911 0.000 1.617 6.911 0.000 0.000 0.000 4.669" Properties=species:S:1:pos:R:3 comment="Ta5Os, optimized geometry, DFT GGA-PBE" spacegroup=Cmmm dos_at_fermi_per_ev_atom=0.715 e_form_ev_per_atom=-0.205 magnetic_moment_mub_per_fu=0.0 e_tot_ev_per_atom=-11.954 de_polymorph_ev_per_fu=0.04 pbc="T T T"
Ta 0.000 0.000 0.000
Ta 1.617 4.670 2.334
Ta 1.617 2.311 0.000
Ta 1.617 -2.311 0.000
Ta 1.617 -4.670 2.334
Os 1.617 0.000 2.334

***

7.
9
Lattice="5.840 -2.477 0.000 5.840 2.477 0.000 -1.441 0.000 10.276" Properties=species:S:1:pos:R:3 comment="Pr3Nd2Sn4, optimized geometry, DFT GGA-PBE" spacegroup=C2/m dos_at_fermi_per_ev_atom=0.810 e_form_ev_per_atom=-0.607 magnetic_moment_mub_per_fu=0.0 e_tot_ev_per_atom=-5.039 de_polymorph_ev_per_fu=1.25 pbc="T T T"
Pr 0.000 0.000 0.000
Pr 3.545 0.000 5.990
Pr 6.693 0.000 4.286
Nd 3.535 0.000 1.887
Nd 6.703 0.000 8.389
Sn 0.163 0.000 6.429
Sn 2.840 0.000 9.053
Sn 7.399 0.000 1.223
Sn 10.076 0.000 3.847

***

8.
5
Lattice="4.348 0.000 0.000 0.000 4.348 0.000 0.000 0.000 5.211" Properties=species:S:1:pos:R:3 comment="Ni2SnPSe, optimized geometry, DFT GGA-PBE" spacegroup=P4/mmm dos_at_fermi_per_ev_atom=1.149 formation_energy_uncorrected_mev_per_atom=491 magnetic_moment_mub_per_fu=0.0 e_tot_ev_per_atom=-4.401 pbc="T T T"
Ni 0.000 2.174 0.000
Ni 2.174 0.000 0.000
Sn 0.000 0.000 2.605
P 2.174 2.174 2.605
Se 2.174 2.174 0.000

***

9.
4
Lattice="1.735 1.002 7.262 -1.735 1.002 7.262 0.000 -2.003 7.262" Properties=species:S:1:pos:R:3 comment="Zn2NiTe, optimized geometry, DFT GGA-PBE" spacegroup=R3m dos_at_fermi_per_ev_atom=0.565 formation_energy_uncorrected_mev_per_atom=123 magnetic_moment_mub_per_fu=0.0 e_tot_ev_per_atom=-2.745 de_polymorph_ev_per_fu=0.65 pbc="T T T"
Zn 0.000 0.000 0.000
Zn 0.000 0.000 5.555
Ni 0.000 0.000 11.211
Te 0.000 0.000 16.970

***

10.
10
Lattice="4.021 0.000 0.000 0.000 4.021 0.000 0.000 0.000 10.128" Properties=species:S:1:pos:R:3 comment="Tb2Ni4Ge3Pt, optimized geometry, DFT GGA-PBE" spacegroup=P-4m2 dos_at_fermi_per_ev_atom=0.723 e_form_ev_per_atom=-0.666 magnetic_moment_mub_per_fu=0.0 e_tot_ev_per_atom=-5.894 pbc="T T T"
Tb 0.000 2.011 2.516
Tb 2.011 0.000 7.611
Ni 0.000 0.000 5.064
Ni 0.000 2.011 8.648
Ni 2.011 0.000 1.479
Ni 2.011 2.011 5.064
Ge 0.000 0.000 0.000
Ge 0.000 2.011 6.333
Ge 2.011 0.000 3.795
Pt 2.011 2.011 0.000

***

11.
11
Lattice="4.816 0.000 0.000 -0.576 7.679 0.000 -1.544 -1.905 9.503" Properties=species:S:1:pos:R:3 comment="Hg8AuI2, optimized geometry, DFT GGA-PBE" spacegroup=P-1 dos_at_fermi_per_ev_atom=0.193 formation_energy_uncorrected_mev_per_atom=-55 magnetic_moment_mub_per_fu=0.0 e_tot_ev_per_atom=-0.854 pbc="T T T"
Hg -0.321 2.659 0.801
Hg 0.298 -0.148 2.963
Hg -0.078 5.093 4.877
Hg 0.726 -0.670 8.316
Hg 1.971 6.445 1.187
Hg 2.774 0.681 4.626
Hg 2.399 5.922 6.541
Hg 3.018 3.115 8.703
Au 0.000 0.000 0.000
I 0.522 2.178 6.702
I 2.175 3.597 2.801

***

12.
4
Lattice="1.834 1.059 12.592 -1.834 1.059 12.592 0.000 -2.118 12.592" Properties=species:S:1:pos:R:3 comment="Ac2PuSn, optimized geometry, DFT GGA-PBE" spacegroup=R-3m dos_at_fermi_per_ev_atom=3.408 e_form_ev_per_atom=0.194 magnetic_moment_mub_per_fu=6.3 e_tot_ev_per_atom=-6.444 de_polymorph_ev_per_fu=1.61 pbc="T T T"
Ac 0.000 0.000 3.493
Ac 0.000 0.000 34.284
Pu 0.000 0.000 0.000
Sn 0.000 0.000 18.888

***

13.
4
Lattice="4.007 0.000 0.000 0.000 4.007 0.000 0.000 0.000 2.876" Properties=species:S:1:pos:R:3 comment="Mn2NiAs, optimized geometry, DFT GGA-PBE" spacegroup=P4/mmm dos_at_fermi_per_ev_atom=1.054 e_form_ev_per_atom=0.089 magnetic_moment_mub_per_fu=0.0 e_tot_ev_per_atom=-7.103 pbc="T T T"
Mn 0.000 2.003 0.000
Mn 2.003 0.000 0.000
Ni 0.000 0.000 1.438
As 2.003 2.003 1.438

***

14.
10
Lattice="-3.095 3.095 4.387 3.095 -3.095 4.387 3.095 3.095 -4.387" Properties=species:S:1:pos:R:3 comment="Rb2AuCF6, optimized geometry, DFT GGA-PBE" spacegroup=I4/mmm dos_at_fermi_per_ev_atom=0.341 formation_energy_uncorrected_mev_per_atom=-1348 magnetic_moment_mub_per_fu=0.0 e_tot_ev_per_atom=-3.915 pbc="T T T"
Rb 3.095 0.000 2.194
Rb 0.000 3.095 2.194
Au 0.000 0.000 0.000
C 0.000 0.000 4.387
F 1.965 1.965 0.000
F 1.130 -1.130 4.387
F 0.000 0.000 2.790
F 0.000 0.000 5.985
F -1.130 1.130 4.387
F 1.130 1.130 4.387

***

15.
32
Lattice="8.343 0.000 0.000 0.000 10.311 0.000 0.000 0.000 8.608" Properties=species:S:1:pos:R:3 comment="Na3VS4, optimized geometry, DFT GGA-PBE" spacegroup=Pnma formation_energy_uncorrected_mev_per_atom=-1025 magnetic_moment_mub_per_fu=0.0 e_tot_ev_per_atom=-4.724 pbc="T T T"
Na 0.621 0.592 1.864
Na 0.621 4.563 1.864
Na 0.878 7.733 3.548
Na 3.293 2.578 7.852
Na 3.550 5.748 6.168
Na 3.550 9.719 6.168
Na 4.792 0.592 2.440
Na 4.792 4.563 2.440
Na 5.050 7.733 0.756
Na 7.465 2.578 5.060
Na 7.722 5.748 6.744
Na 7.722 9.719 6.744
V 1.639 7.733 8.506
V 2.533 2.578 4.202
V 5.810 7.733 4.405
V 6.704 2.578 0.101
S 0.305 2.578 7.813
S 1.393 7.733 6.348
S 1.456 0.790 4.781
S 1.456 4.366 4.781
S 2.715 5.945 0.477
S 2.715 9.521 0.477
S 2.778 2.578 2.044
S 3.866 7.733 3.510
S 4.476 2.578 5.098
S 5.565 7.733 6.563
S 5.627 0.790 8.130
S 5.627 4.366 8.130
S 6.887 5.945 3.827
S 6.887 9.521 3.827
S 6.949 2.578 2.259
S 8.038 7.733 0.794

***

16.
4
Lattice="0.000 3.024 3.866 2.878 0.000 3.866 2.878 3.024 0.000" Properties=species:S:1:pos:R:3 comment="CoReSe2, optimized geometry, DFT GGA-PBE" spacegroup=Fmmm dos_at_fermi_per_ev_atom=1.115 formation_energy_uncorrected_mev_per_atom=762 magnetic_moment_mub_per_fu=0.0 e_tot_ev_per_atom=-5.869 de_polymorph_ev_per_fu=3.40 pbc="T T T"
Co 0.000 0.000 0.000
Re 2.878 3.024 3.866
Se 2.878 1.512 1.933
Se 0.000 1.512 1.933

***

17.
4
Lattice="3.101 0.000 0.000 0.000 3.101 0.000 0.000 0.000 10.426" Properties=species:S:1:pos:R:3 comment="Te2RhSe, optimized geometry, DFT GGA-PBE" spacegroup=P4mm dos_at_fermi_per_ev_atom=0.535 formation_energy_uncorrected_mev_per_atom=24 magnetic_moment_mub_per_fu=0.0 e_tot_ev_per_atom=-4.256 pbc="T T T"
Te 0.000 0.000 0.000
Te 1.551 1.551 3.656
Rh 0.000 0.000 5.693
Se 1.551 1.551 7.077

***

18.
19
Lattice="4.951 2.858 4.198 -4.951 2.858 4.198 0.000 -5.717 4.198" Properties=species:S:1:pos:R:3 comment="Ta12Nb6Rh, optimized geometry, DFT GGA-PBE" spacegroup=R-3 dos_at_fermi_per_ev_atom=0.886 e_form_ev_per_atom=0.115 magnetic_moment_mub_per_fu=0.0 e_tot_ev_per_atom=-10.938 pbc="T T T"
Ta -4.468 0.921 5.256
Ta -3.032 -3.408 7.339
Ta -1.596 -0.406 3.828
Ta 1.436 -4.330 5.256
Ta 1.150 -1.179 3.828
Ta 0.446 1.585 3.828
Ta -0.446 -1.585 8.767
Ta -1.150 1.179 8.767
Ta -1.436 4.330 7.339
Ta 1.596 0.406 8.767
Ta 3.032 3.408 5.256
Ta 4.468 -0.921 7.339
Nb -0.753 -2.578 5.786
Nb -2.609 -0.637 6.809
Nb -1.856 1.941 5.786
Nb 1.856 -1.941 6.809
Nb 2.609 0.637 5.786
Nb 0.753 2.578 6.809
Rh 0.000 0.000 6.298

***

19.
4
Lattice="1.462 0.844 8.526 -1.462 0.844 8.526 0.000 -1.688 8.526" Properties=species:S:1:pos:R:3 comment="Ta2FeIr, optimized geometry, DFT GGA-PBE" spacegroup=R-3m dos_at_fermi_per_ev_atom=0.946 e_form_ev_per_atom=-0.002 magnetic_moment_mub_per_fu=1.8 e_tot_ev_per_atom=-10.259 pbc="T T T"
Ta 0.000 0.000 6.289
Ta 0.000 0.000 19.290
Fe 0.000 0.000 12.789
Ir 0.000 0.000 0.000

***

20.
10
Lattice="4.531 0.000 0.000 0.000 5.380 0.000 -2.252 0.000 7.072" Properties=species:S:1:pos:R:3 comment="LiZnAg3, optimized geometry, DFT GGA-PBE" spacegroup=P2_1/m dos_at_fermi_per_ev_atom=0.180 e_form_ev_per_atom=-0.049 magnetic_moment_mub_per_fu=0.0 e_tot_ev_per_atom=-2.397 de_polymorph_ev_per_fu=0.44 pbc="T T T"
Li 0.075 1.345 3.125
Li 2.203 4.035 3.947
Zn 0.053 1.345 6.044
Zn 2.226 4.035 1.029
Ag 0.000 0.000 0.000
Ag 0.000 2.690 0.000
Ag -0.072 4.035 2.536
Ag -0.057 4.035 5.369
Ag 2.335 1.345 1.703
Ag 2.350 1.345 4.536

***

21.
4
Lattice="6.112 -1.419 0.000 6.112 1.419 0.000 -0.429 0.000 4.030" Properties=species:S:1:pos:R:3 comment="CrSiAu2, optimized geometry, DFT GGA-PBE" spacegroup=C2/m dos_at_fermi_per_ev_atom=0.648 formation_energy_uncorrected_mev_per_atom=122 magnetic_moment_mub_per_fu=2.5 e_tot_ev_per_atom=-5.278 pbc="T T T"
Cr 0.000 0.000 0.000
Si 5.898 0.000 2.015
Au 3.511 0.000 3.086
Au 8.285 0.000 0.945

***

22.
7
Lattice="1.813 1.047 13.773 -1.813 1.047 13.773 0.000 -2.093 13.773" Properties=species:S:1:pos:R:3 comment="Tb4AgC2, optimized geometry, DFT GGA-PBE" spacegroup=R-3m dos_at_fermi_per_ev_atom=0.826 e_form_ev_per_atom=-0.232 magnetic_moment_mub_per_fu=0.8 e_tot_ev_per_atom=-5.921 de_polymorph_ev_per_fu=0.00 pbc="T T T"
Tb 0.000 0.000 5.105
Tb 0.000 0.000 11.374
Tb 0.000 0.000 29.944
Tb 0.000 0.000 36.213
Ag 0.000 0.000 0.000
C 0.000 0.000 17.512
C 0.000 0.000 23.806

***

23.
8
Lattice="7.283 0.000 0.000 0.000 4.200 0.000 -2.422 0.000 6.930" Properties=species:S:1:pos:R:3 comment="Pm4As2SeCl, optimized geometry, DFT GGA-PBE" spacegroup=P2/m dos_at_fermi_per_ev_atom=0.444 formation_energy_uncorrected_mev_per_atom=-1638 magnetic_moment_mub_per_fu=0.0 e_tot_ev_per_atom=-5.842 pbc="T T T"
Pm 1.161 0.000 1.577
Pm -0.055 2.100 5.321
Pm 4.916 2.100 1.609
Pm 3.700 0.000 5.353
As 0.000 2.100 0.000
As 3.641 0.000 0.000
Se -1.211 0.000 3.465
Cl 2.430 2.100 3.465

***

24.
4
Lattice="2.916 0.000 0.000 0.000 2.916 0.000 0.000 0.000 8.767" Properties=species:S:1:pos:R:3 comment="PtW2Br, optimized geometry, DFT GGA-PBE" spacegroup=P4mm dos_at_fermi_per_ev_atom=0.849 formation_energy_uncorrected_mev_per_atom=405 magnetic_moment_mub_per_fu=0.0 e_tot_ev_per_atom=-8.000 de_polymorph_ev_per_fu=0.00 pbc="T T T"
Pt 0.000 0.000 0.000
W 0.000 0.000 3.762
W 1.458 1.458 1.780
Br 1.458 1.458 5.569

***

25.
11
Lattice="-2.708 3.768 8.597 2.708 -3.768 8.597 2.708 3.768 -8.597" Properties=species:S:1:pos:R:3 comment="Tb2Dy8Tl, optimized geometry, DFT GGA-PBE" spacegroup=Immm dos_at_fermi_per_ev_atom=1.337 e_form_ev_per_atom=0.024 magnetic_moment_mub_per_fu=0.0 e_tot_ev_per_atom=-4.380 de_polymorph_ev_per_fu=0.57 pbc="T T T"
Tb 0.000 0.000 3.322
Tb 0.000 0.000 13.873
Dy 2.708 1.740 -2.365
Dy 0.000 1.799 0.000
Dy 2.708 0.000 5.473
Dy 2.708 1.740 2.365
Dy 0.000 2.028 6.232
Dy 0.000 3.768 3.124
Dy 0.000 5.738 0.000
Dy 0.000 2.028 10.962
Tl 0.000 0.000 8.597